MgNiMo2 after structural relaxation. Source: the Alexandria database, functional PBE-GGA.

Summary:
ΔH_f (0 K) = 0.18 eV per atom
M_tot = 0.00 μB/atom
VASP energy = -28.31 eV per cell

a b c (Å): 4.3239 2.6500 5.3027
angles (deg): 82.25 90.00 90.00
With the nearest neighbours (Å) after each atom.
Element x y z (fractional)
Mg  0.5000  0.7066  0.7411  2 Ni 2.58, 2 Mg 2.65, 4 Mo 2.78-2.82
Mo  0.0000  0.0339  0.0073  4 Mo 2.61-2.65, 2 Ni 2.78-2.82, 2 Mg 2.78
Mo  0.5000  0.2334  0.2499  4 Mo 2.61-2.65, 2 Ni 2.71, 2 Mg 2.78-2.82
Ni  0.0000  0.5260  0.5018  2 Mg 2.58, 2 Ni 2.65, 4 Mo 2.71-2.82